<w>
AcAgF4, optimized geometry, DFT PBE-GGA; DOS at the Fermi energy = 0.000 states/eV per cell; M_tot = 0.0 μB per cell
1.0
-4.0322 4.0322 3.9350
4.0322 -4.0322 3.9350
4.0322 4.0322 -3.9350
Ac Ag F
2 2 8
Cartesian
0.0000 0.0000 0.0000
0.0000 4.0322 1.9675
4.0322 0.0000 2.1480
0.0000 0.0000 4.1155
4.0322 -2.2894 2.3023
4.0322 2.4367 -2.0719
0.0000 1.5955 1.8631
1.7428 4.0322 0.3348
2.2894 0.0000 4.2698
4.0322 2.2894 2.3023
-1.5955 4.0322 3.8306
1.5955 4.0322 3.8306

***

<x>
AcAgF4, optimized geometry, DFT PBE-GGA; DOS at the Fermi energy = 0.000 states/eV per cell; M_tot = 0.1 μB per cell
1.0
2.9970 -2.9986 0.0000
2.9970 2.9986 0.0000
-0.2361 0.0000 5.9004
Ac Ag F
1 1 4
Cartesian
0.0000 0.0000 0.0000
2.8790 0.0000 2.9502
1.5219 1.4836 1.3724
4.2361 1.4836 4.5280
1.5219 -1.4836 1.3724
4.2361 -1.4836 4.5280

***

Name the least stable of them. <w>.

***

<w>
Ac3Ga2Ag, optimized geometry, DFT PBE-GGA; DOS at the Fermi energy = 12.725 states/eV per cell; M_tot = 0.0 μB per cell
1.0
5.5542 0.0000 0.0000
-2.7771 4.8101 0.0000
0.0000 0.0000 13.7373
Ac Ga Ag
6 4 2
Cartesian
0.0000 0.0000 3.3839
0.0000 0.0000 10.3534
0.0000 3.2067 5.6796
0.0000 3.2067 12.6004
2.7771 1.6034 1.1368
2.7771 1.6034 8.0576
0.0000 0.0000 0.0000
0.0000 0.0000 6.8686
0.0000 3.2067 2.2938
2.7771 1.6034 11.4435
0.0000 3.2067 9.1485
2.7771 1.6034 4.5887

***

<x>
Ac3Ga2Ag, optimized geometry, DFT PBE-GGA; DOS at the Fermi energy = 5.299 states/eV per cell; M_tot = 0.0 μB per cell
1.0
3.9151 0.0000 0.0000
0.0000 3.9151 0.0000
0.0000 0.0000 11.8997
Ac Ga Ag
3 2 1
Cartesian
0.0000 0.0000 0.0000
0.0000 0.0000 3.8972
0.0000 0.0000 8.0025
1.9575 1.9575 1.9829
1.9575 1.9575 9.9168
1.9575 1.9575 5.9498

***

Name the least stable of them. <w>.

***

<w>
Ac4GaAg2, optimized geometry, DFT PBE-GGA; DOS at the Fermi energy = 16.826 states/eV per cell; M_tot = 0.0 μB per cell
1.0
-4.9654 4.9654 4.8214
4.9654 -4.9654 4.8214
4.9654 4.9654 -4.8214
Ac Ga Ag
8 2 4
Cartesian
6.7782 0.6437 0.5126
4.3217 3.1525 -1.8980
0.6437 3.1525 -0.5126
0.6437 1.8129 2.9233
4.3217 1.8129 4.3087
1.8129 -0.6437 6.7194
3.1525 5.6090 1.8980
-1.8129 4.3217 5.3340
0.0000 0.0000 0.0000
0.0000 4.9654 2.4107
2.4827 -1.2292 3.6160
3.7361 2.4827 1.2053
2.4827 6.1946 -1.2053
1.2292 2.4827 6.0267

***

<x>
Ac4GaAg2, optimized geometry, DFT PBE-GGA; DOS at the Fermi energy = 7.562 states/eV per cell; M_tot = 0.0 μB per cell
1.0
2.7860 1.6085 9.0022
-2.7860 1.6085 9.0022
0.0000 -3.2170 9.0022
Ac Ga Ag
4 1 2
Cartesian
0.0000 0.0000 3.3393
0.0000 0.0000 10.1303
0.0000 0.0000 16.8763
0.0000 0.0000 23.6673
0.0000 0.0000 0.0000
0.0000 0.0000 6.7128
0.0000 0.0000 20.2938

***

Name the least stable of them. <x>.

***

<w>
AcGa2Ag, optimized geometry, DFT PBE-GGA; DOS at the Fermi energy = 3.143 states/eV per cell; M_tot = 0.0 μB per cell
1.0
2.4748 -5.4675 0.0000
2.4748 5.4675 0.0000
0.0000 0.0000 6.9123
Ac Ga Ag
2 4 2
Cartesian
2.4748 4.2888 5.1843
2.4748 -4.2888 1.7281
2.4748 1.2518 3.8613
2.4748 1.2518 6.5072
2.4748 -1.2518 0.4052
2.4748 -1.2518 3.0510
2.4748 3.3331 1.7281
2.4748 -3.3331 5.1843

***

<x>
AcGa2Ag, optimized geometry, DFT PBE-GGA; DOS at the Fermi energy = 2.159 states/eV per cell; M_tot = 0.0 μB per cell
1.0
0.0000 3.6299 3.6299
3.6299 0.0000 3.6299
3.6299 3.6299 0.0000
Ac Ga Ag
1 2 1
Cartesian
0.0000 0.0000 0.0000
1.8150 1.8150 1.8150
5.4449 5.4449 5.4449
3.6299 3.6299 3.6299

***

<y>
AcGa2Ag, optimized geometry, DFT PBE-GGA; DOS at the Fermi energy = 23.189 states/eV per cell; M_tot = 0.0 μB per cell
1.0
14.8555 0.0000 0.0000
0.0000 4.5307 0.0000
0.0000 0.0000 11.4666
Ac Ga Ag
8 16 8
Cartesian
0.6622 1.1327 2.7930
3.0284 3.3980 5.8532
4.3993 1.1327 0.1199
6.7655 3.3980 8.5263
8.0899 1.1327 2.9403
10.4562 3.3980 11.3467
11.8271 1.1327 5.6134
14.1933 3.3980 8.6736
0.4028 1.1327 6.1830
1.8155 1.1327 8.3044
1.8654 3.3980 0.2892
3.0611 3.3980 2.5554
4.3667 1.1327 8.2887
5.5624 1.1327 6.0225
5.6123 3.3980 2.5711
7.0250 3.3980 0.4497
7.8305 1.1327 11.0169
9.2432 1.1327 8.8955
9.2931 3.3980 5.4441
10.4888 3.3980 3.1779
11.7944 1.1327 8.9112
12.9901 1.1327 11.1774
13.0400 3.3980 3.1622
14.4527 3.3980 5.2836
0.8515 1.1327 10.8187
3.0553 3.3980 9.2762
4.3725 1.1327 3.5429
6.5763 3.3980 5.0854
8.2792 1.1327 6.3812
10.4830 3.3980 7.9237
11.8002 1.1327 2.1904
14.0040 3.3980 0.6479

***

Name the least stable of them. <x>.

***

<w>
AcGa2Ag, optimized geometry, DFT PBE-GGA; DOS at the Fermi energy = 2.052 states/eV per cell; M_tot = 0.0 μB per cell
1.0
2.2480 1.2979 5.5918
-2.2480 1.2979 5.5918
0.0000 -2.5957 5.5918
Ac Ga Ag
1 2 1
Cartesian
0.0000 0.0000 0.0000
0.0000 0.0000 3.5618
0.0000 0.0000 13.2136
0.0000 0.0000 8.3877

***

<x>
AcGa2Ag, optimized geometry, DFT PBE-GGA; DOS at the Fermi energy = 2.405 states/eV per cell; M_tot = 0.0 μB per cell
1.0
3.6185 0.0000 0.0000
0.0000 3.6185 0.0000
0.0000 0.0000 7.1886
Ac Ga Ag
1 2 1
Cartesian
0.0000 0.0000 0.0000
1.8092 1.8092 2.2277
1.8092 1.8092 4.9609
0.0000 0.0000 3.5943

***

Name the least stable of them. <x>.

***

<w>
AcGaAg3, optimized geometry, DFT PBE-GGA; DOS at the Fermi energy = 2.420 states/eV per cell; M_tot = 0.0 μB per cell
1.0
4.9966 0.0000 0.0000
0.0000 4.9966 0.0000
0.0000 0.0000 4.9966
Ac Ga Ag
1 1 3
Cartesian
0.0000 0.0000 0.0000
2.4983 2.4983 2.4983
0.0000 2.4983 2.4983
2.4983 0.0000 2.4983
2.4983 2.4983 0.0000

***

<x>
AcGaAg3, optimized geometry, DFT PBE-GGA; DOS at the Fermi energy = 2.654 states/eV per cell; M_tot = 0.0 μB per cell
1.0
3.6061 -3.3464 0.0000
3.6061 3.3464 0.0000
-3.2497 0.0000 4.8446
Ac Ga Ag
1 1 3
Cartesian
0.0000 0.0000 0.0000
4.0202 0.0000 1.3636
2.0248 1.4791 2.3436
0.0522 0.0000 3.7377
2.0248 -1.4791 2.3436

***

Name the least stable of them. <w>.